# PBE K2CeO3, optimized geometry
data_K2CeO3
_chemical_formula_sum 'K8 Ce4 O12'
_symmetry_space_group_name_H-M 'C 1 2/c 1'
_symmetry_Int_Tables_number 15
_symmetry_space_group_name_Hall '-C 2yc'
_cell_length_a 12.019
_cell_length_b 5.571
_cell_length_c 7.105
_cell_angle_alpha 90.00
_cell_angle_beta 107.16
_cell_angle_gamma 90.00
loop_
_atom_site_label
_atom_site_type_symbol
_atom_site_fract_x
_atom_site_fract_y
_atom_site_fract_z
K1 K 0.171 0.000 0.085
Ce1 Ce 0.000 0.459 0.250
O1 O 0.000 0.091 0.250
O2 O 0.124 0.500 0.062
# M_tot, μB per formula unit: 0.00
# Raw formation energy, eV/atom: -2.39
# E, eV/f.u.: -37.3

=====

# PBE KCeO3, optimized geometry
data_KCeO3
_chemical_formula_sum 'K2 Ce2 O6'
_symmetry_space_group_name_H-M 'P 4/m b m'
_symmetry_Int_Tables_number 127
_symmetry_space_group_name_Hall '-P 4 2ab'
_cell_length_a 6.259
_cell_length_b 6.259
_cell_length_c 4.440
_cell_angle_alpha 90.00
_cell_angle_beta 90.00
_cell_angle_gamma 90.00
loop_
_atom_site_label
_atom_site_type_symbol
_atom_site_fract_x
_atom_site_fract_y
_atom_site_fract_z
K1 K 0.000 0.500 0.000
Ce1 Ce 0.000 0.000 0.500
O1 O 0.000 0.000 0.000
O2 O 0.234 0.266 0.500
# M_tot, μB per formula unit: 1.02
# Raw formation energy, eV/atom: -2.35
# E, eV/f.u.: -33.6

=====

# PBE KCeO3, optimized geometry
data_KCeO3
_chemical_formula_sum 'K1 Ce1 O3'
_symmetry_space_group_name_H-M 'P m -3 m'
_symmetry_Int_Tables_number 221
_symmetry_space_group_name_Hall '-P 4 2 3'
_cell_length_a 4.442
_cell_length_b 4.442
_cell_length_c 4.442
_cell_angle_alpha 90.00
_cell_angle_beta 90.00
_cell_angle_gamma 90.00
loop_
_atom_site_label
_atom_site_type_symbol
_atom_site_fract_x
_atom_site_fract_y
_atom_site_fract_z
K1 K 0.000 0.000 0.000
Ce1 Ce 0.500 0.500 0.500
O1 O 0.000 0.500 0.500
# M_tot, μB per formula unit: 1.01
# Raw formation energy, eV/atom: -2.35
# E, eV/f.u.: -33.7

=====

# PBE KCeOsO6, optimized geometry
data_KCeOsO6
_chemical_formula_sum 'K4 Ce4 Os4 O24'
_symmetry_space_group_name_H-M 'I m m a'
_symmetry_Int_Tables_number 74
_symmetry_space_group_name_Hall '-I 2b 2'
_cell_length_a 7.404
_cell_length_b 7.489
_cell_length_c 10.038
_cell_angle_alpha 90.00
_cell_angle_beta 90.00
_cell_angle_gamma 90.00
loop_
_atom_site_label
_atom_site_type_symbol
_atom_site_fract_x
_atom_site_fract_y
_atom_site_fract_z
K1 K 0.000 0.250 0.093
Ce1 Ce 0.000 0.000 0.500
Os1 Os 0.250 0.250 0.750
O1 O 0.000 0.250 0.399
O2 O 0.000 0.250 0.685
O3 O 0.219 0.073 0.878
# M_tot, μB per formula unit: 1.04
# Raw formation energy, eV/atom: -1.84
# E, eV/f.u.: -64.6

=====

# PBE KCe2OsO8, optimized geometry
data_KCe2OsO8
_chemical_formula_sum 'K1 Ce2 Os1 O8'
_symmetry_space_group_name_H-M 'P 1 2/m 1'
_symmetry_Int_Tables_number 10
_symmetry_space_group_name_Hall '-P 2y'
_cell_length_a 5.036
_cell_length_b 7.159
_cell_length_c 5.155
_cell_angle_alpha 90.00
_cell_angle_beta 90.55
_cell_angle_gamma 90.00
loop_
_atom_site_label
_atom_site_type_symbol
_atom_site_fract_x
_atom_site_fract_y
_atom_site_fract_z
K1 K 0.000 0.000 0.000
Ce1 Ce 0.500 0.246 0.500
Os1 Os 0.000 0.500 0.000
O1 O 0.196 0.316 0.175
O2 O 0.266 0.500 0.718
O3 O 0.306 0.000 0.640
# M_tot, μB per formula unit: 0.99
# Raw formation energy, eV/atom: -2.15
# E, eV/f.u.: -89.6

=====

# PBE KCeP2O6, optimized geometry
data_KCeP2O6
_chemical_formula_sum 'K4 Ce4 P8 O24'
_symmetry_space_group_name_H-M 'C 1 2/c 1'
_symmetry_Int_Tables_number 15
_symmetry_space_group_name_Hall '-C 2yc'
_cell_length_a 7.391
_cell_length_b 11.187
_cell_length_c 8.070
_cell_angle_alpha 90.00
_cell_angle_beta 110.88
_cell_angle_gamma 90.00
loop_
_atom_site_label
_atom_site_type_symbol
_atom_site_fract_x
_atom_site_fract_y
_atom_site_fract_z
K1 K 0.000 0.125 0.250
Ce1 Ce 0.000 0.287 0.750
P1 P 0.147 0.402 0.231
O1 O 0.143 0.324 0.070
O2 O 0.167 0.463 0.707
O3 O 0.182 0.149 0.612
# M_tot, μB per formula unit: 1.00
# Raw formation energy, eV/atom: -2.48
# E, eV/f.u.: -72.4

=====

# PBE KCePO6, optimized geometry
data_KCePO6
_chemical_formula_sum 'K1 Ce1 P1 O6'
_symmetry_space_group_name_H-M 'P 3 1 2'
_symmetry_Int_Tables_number 149
_symmetry_space_group_name_Hall 'P 3 2'
_cell_length_a 5.4359
_cell_length_b 5.4359
_cell_length_c 5.7599
_cell_angle_alpha 90.00
_cell_angle_beta 90.00
_cell_angle_gamma 120.00
loop_
_atom_site_label
_atom_site_type_symbol
_atom_site_fract_x
_atom_site_fract_y
_atom_site_fract_z
K1 K 0.0000 0.0000 0.0000
Ce1 Ce 0.3333 0.6667 0.5000
P1 P 0.6667 0.3333 0.5000
O1 O 0.4110 0.0756 0.6696
# M_tot, μB per formula unit: 2.02
# Raw formation energy, eV/atom: -1.94
# E, eV/f.u.: -59.6

=====

# PBE K2CeP2O8, optimized geometry
data_K2CeP2O8
_chemical_formula_sum 'K8 Ce4 P8 O32'
_symmetry_space_group_name_H-M 'I 41/a m d'
_symmetry_Int_Tables_number 141
_cell_length_a 6.915
_cell_length_b 6.915
_cell_length_c 17.930
_cell_angle_alpha 90.00
_cell_angle_beta 90.00
_cell_angle_gamma 90.00
loop_
_symmetry_equiv_pos_as_xyz
'x,y,z'
'-x,-y,-z'
'-y+1/4,x+3/4,z+1/4'
'y+1/4,-x+3/4,-z+1/4'
'-x+1/2,-y,z+1/2'
'x+1/2,y,-z+1/2'
'y+1/4,-x+1/4,z+3/4'
'-y+1/4,x+1/4,-z+3/4'
'x,-y,-z'
'-x,y,z'
'-y+1/4,-x+1/4,-z+3/4'
'y+1/4,x+1/4,z+3/4'
'-x+1/2,y,-z+1/2'
'x+1/2,-y,z+1/2'
'y+1/4,x+3/4,-z+1/4'
'-y+1/4,-x+3/4,z+1/4'
'x+1/2,y+1/2,z+1/2'
'-x+1/2,-y+1/2,-z+1/2'
'-y+3/4,x+1/4,z+3/4'
'y+3/4,-x+1/4,-z+3/4'
'-x,-y+1/2,z'
'x,y+1/2,-z'
'y+3/4,-x+3/4,z+1/4'
'-y+3/4,x+3/4,-z+1/4'
'x+1/2,-y+1/2,-z+1/2'
'-x+1/2,y+1/2,z+1/2'
'-y+3/4,-x+3/4,-z+1/4'
'y+3/4,x+3/4,z+1/4'
'-x,y+1/2,-z'
'x,-y+1/2,z'
'y+3/4,x+1/4,-z+3/4'
'-y+3/4,-x+1/4,z+3/4'
loop_
_atom_site_label
_atom_site_type_symbol
_atom_site_fract_x
_atom_site_fract_y
_atom_site_fract_z
K1 K 0.000 0.000 0.000
Ce1 Ce 0.000 0.250 0.375
P1 P 0.000 0.250 0.199
O1 O 0.000 0.070 0.251
O2 O 0.000 0.072 0.603
# E above lowest polymorph, eV per atom: 0.0027
# M_tot, μB per formula unit: 0.00
# Raw formation energy, eV/atom: -2.59
# E, eV/f.u.: -92.3

=====

# PBE K2CeP2O8, optimized geometry
data_K2CeP2O8
_chemical_formula_sum 'K8 Ce4 P8 O32'
_symmetry_space_group_name_H-M 'P 1 21/c 1'
_symmetry_Int_Tables_number 14
_symmetry_space_group_name_Hall '-P 2ybc'
_cell_length_a 7.774
_cell_length_b 11.028
_cell_length_c 9.767
_cell_angle_alpha 90.00
_cell_angle_beta 117.32
_cell_angle_gamma 90.00
loop_
_atom_site_label
_atom_site_type_symbol
_atom_site_fract_x
_atom_site_fract_y
_atom_site_fract_z
K1 K 0.147 0.129 0.042
K2 K 0.334 0.115 0.460
Ce1 Ce 0.256 0.640 0.280
P1 P 0.067 0.640 0.856
P2 P 0.462 0.630 0.634
O1 O 0.031 0.022 0.731
O2 O 0.033 0.245 0.243
O3 O 0.061 0.646 0.013
O4 O 0.245 0.601 0.524
O5 O 0.277 0.647 0.879
O6 O 0.436 0.022 0.755
O7 O 0.452 0.148 0.981
O8 O 0.485 0.748 0.728
# E above lowest polymorph, eV per atom: 0.0000
# M_tot, μB per formula unit: 0.00
# Raw formation energy, eV/atom: -2.59
# E, eV/f.u.: -92.3

=====

# PBE K2CePa3O12, optimized geometry
data_K2CePa3O12
_chemical_formula_sum 'K6 Ce3 Pa9 O36'
_symmetry_space_group_name_H-M 'R -3 m'
_symmetry_Int_Tables_number 166
_symmetry_space_group_name_Hall '-R 3 2"'
_cell_length_a 8.2149
_cell_length_b 8.2149
_cell_length_c 19.8677
_cell_angle_alpha 90.00
_cell_angle_beta 90.00
_cell_angle_gamma 120.00
loop_
_atom_site_label
_atom_site_type_symbol
_atom_site_fract_x
_atom_site_fract_y
_atom_site_fract_z
K1 K 0.0000 0.0000 0.1824
Ce1 Ce 0.0000 0.0000 0.5000
Pa1 Pa 0.0000 0.5000 0.0000
O1 O 0.0725 0.5362 0.1027
O2 O 0.0972 0.5486 0.3584
# M_tot, μB per formula unit: 2.64
# Raw formation energy, eV/atom: -2.79
# E, eV/f.u.: -146.3

=====

# PBE K3CePa2O9, optimized geometry
data_K3CePa2O9
_chemical_formula_sum 'K3 Ce1 Pa2 O9'
_symmetry_space_group_name_H-M 'P -3 m 1'
_symmetry_Int_Tables_number 164
_symmetry_space_group_name_Hall '-P 3 2"'
_cell_length_a 6.2109
_cell_length_b 6.2109
_cell_length_c 7.6061
_cell_angle_alpha 90.00
_cell_angle_beta 90.00
_cell_angle_gamma 120.00
loop_
_atom_site_label
_atom_site_type_symbol
_atom_site_fract_x
_atom_site_fract_y
_atom_site_fract_z
K1 K 0.0000 0.0000 0.0000
K2 K 0.3333 0.6667 0.6629
Ce1 Ce 0.0000 0.0000 0.5000
Pa1 Pa 0.3333 0.6667 0.1671
O1 O 0.0000 0.5000 0.0000
O2 O 0.1701 0.3402 0.3287
# M_tot, μB per formula unit: 0.00
# Raw formation energy, eV/atom: -2.90
# E, eV/f.u.: -116.3

=====

# PBE K2CePbO6, optimized geometry
data_K2CePbO6
_chemical_formula_sum 'K8 Ce4 Pb4 O24'
_symmetry_space_group_name_H-M 'F m -3 m'
_symmetry_Int_Tables_number 225
_symmetry_space_group_name_Hall '-F 4 2 3'
_cell_length_a 8.776
_cell_length_b 8.776
_cell_length_c 8.776
_cell_angle_alpha 90.00
_cell_angle_beta 90.00
_cell_angle_gamma 90.00
loop_
_atom_site_label
_atom_site_type_symbol
_atom_site_fract_x
_atom_site_fract_y
_atom_site_fract_z
K1 K 0.250 0.250 0.250
Ce1 Ce 0.000 0.000 0.000
Pb1 Pb 0.000 0.000 0.500
O1 O 0.000 0.000 0.251
# M_tot, μB per formula unit: 2.07
# Raw formation energy, eV/atom: -1.62
# E, eV/f.u.: -57.7

=====

Repeat the third record exactly.
# PBE KCeO3, optimized geometry
data_KCeO3
_chemical_formula_sum 'K1 Ce1 O3'
_symmetry_space_group_name_H-M 'P m -3 m'
_symmetry_Int_Tables_number 221
_symmetry_space_group_name_Hall '-P 4 2 3'
_cell_length_a 4.442
_cell_length_b 4.442
_cell_length_c 4.442
_cell_angle_alpha 90.00
_cell_angle_beta 90.00
_cell_angle_gamma 90.00
loop_
_atom_site_label
_atom_site_type_symbol
_atom_site_fract_x
_atom_site_fract_y
_atom_site_fract_z
K1 K 0.000 0.000 0.000
Ce1 Ce 0.500 0.500 0.500
O1 O 0.000 0.500 0.500
# M_tot, μB per formula unit: 1.01
# Raw formation energy, eV/atom: -2.35
# E, eV/f.u.: -33.7

=====

- Which formula does entry 12 have?
  K2CePbO6